Entry from Alexandria via LeMat-Bulk: a relaxed structure of MgVMoS2 (PBE).

Results
density = 3.62 g/cm³
space-group type = P4/mmm (123)
total magnetization = 0.023 μB/atom
raw formation energy = 4.05 eV per formula unit

Cell: 4.5934 5.1186 4.5934 Å, 90.00 90.00 90.00°
Each line ends with the local moment (μB).
Atoms (fractional coordinates):
Mg (0.0000, 0.5000, 0.0000)  -0.01
Mo (0.0000, 0.0000, 0.0000)  -0.10
S (0.0000, 0.0000, 0.5000)  -0.03
S (0.5000, 0.0000, 0.0000)  -0.01
V (0.5000, 0.5000, 0.5000)  0.19